Material: YPSe
Method: DFT, PBE
State: optimized geometry

- formation energy from raw total energies (eV/atom) = -0.559
- calculated total energy (eV/atom) = -5.68
- DOS at the Fermi energy (states/eV/f.u.) = 3.43
- calculated volume (Å³ per cell) = 79

Cell: 4.3272 4.3272 4.8610 Å, 90.00 90.00 120.00°
Closest atoms and distances in Å follow each position.
Space group P3m1 (No. 156)
Symmetry-distinct sites (fractional):
Y: 0.0000 0.0000 0.0000 [1 per cell]  3 P 2.77, 3 Se 2.89
P: 0.6667 0.3333 0.2465 [1 per cell]  3 Y 2.77
Se: 0.3333 0.6667 0.7009 [1 per cell]  3 Y 2.89